Entry 1:
First-principles (GGA-PBE) data for Pm2FeAs after structural relaxation, as listed in the Alexandria database.

abc: 5.066 5.066 5.066
angles: 60.00 60.00 60.00
Sites, in units of the cell vectors:
1 Pm 0.250 0.250 0.250
2 Pm 0.750 0.750 0.750
3 Fe 0.000 0.000 0.000
4 As 0.500 0.500 0.500

## Properties
- DFT formation energy (eV per atom) = -0.329
- ΔE to the lowest computed polymorph (kcal/mol of atoms) = 1.755

Entry 2:
First-principles (GGA-PBE) data for Pm2FeAs after structural relaxation, as listed in the Alexandria database.

abc: 4.946 4.946 3.756
angles: 90.00 90.00 90.00
Sites, in units of the cell vectors:
1 Pm 0.000 0.500 0.000
2 Pm 0.500 0.000 0.000
3 Fe 0.000 0.000 0.500
4 As 0.500 0.500 0.500

## Properties
- DFT formation energy (eV per atom) = -0.405
- ΔE to the lowest computed polymorph (kcal/mol of atoms) = 0.000

Entry 3:
First-principles (GGA-PBE) data for PmFe3As3 after structural relaxation, as listed in the Alexandria database.

abc: 6.434 6.434 6.434
angles: 90.00 90.00 90.00
Sites, in units of the cell vectors:
1 Pm 0.000 0.000 0.000
2 Pm 0.500 0.500 0.500
3 Fe 0.000 0.250 0.500
4 Fe 0.000 0.750 0.500
5 Fe 0.250 0.500 0.000
6 Fe 0.500 0.000 0.250
7 Fe 0.500 0.000 0.750
8 Fe 0.750 0.500 0.000
9 As 0.000 0.500 0.250
10 As 0.000 0.500 0.750
11 As 0.250 0.000 0.500
12 As 0.500 0.250 0.000
13 As 0.500 0.750 0.000
14 As 0.750 0.000 0.500

## Properties
- DFT formation energy (eV per atom) = -0.086

Entry 4:
First-principles (GGA-PBE) data for PmFe5As3 after structural relaxation, as listed in the Alexandria database.

abc: 6.469 6.469 11.629
angles: 90.00 90.00 145.50
Sites, in units of the cell vectors:
1 Pm 0.164 0.836 0.750
2 Pm 0.836 0.164 0.250
3 Fe 0.000 0.000 0.000
4 Fe 0.000 0.000 0.500
5 Fe 0.190 0.810 0.052
6 Fe 0.190 0.810 0.448
7 Fe 0.440 0.560 0.644
8 Fe 0.440 0.560 0.856
9 Fe 0.560 0.440 0.144
10 Fe 0.560 0.440 0.356
11 Fe 0.810 0.190 0.552
12 Fe 0.810 0.190 0.948
13 As 0.124 0.876 0.250
14 As 0.381 0.619 0.059
15 As 0.381 0.619 0.441
16 As 0.619 0.381 0.559
17 As 0.619 0.381 0.941
18 As 0.876 0.124 0.750

## Properties
- DFT formation energy (eV per atom) = -0.350

Repeat the third record exactly.
First-principles (GGA-PBE) data for PmFe3As3 after structural relaxation, as listed in the Alexandria database.

abc: 6.434 6.434 6.434
angles: 90.00 90.00 90.00
Sites, in units of the cell vectors:
1 Pm 0.000 0.000 0.000
2 Pm 0.500 0.500 0.500
3 Fe 0.000 0.250 0.500
4 Fe 0.000 0.750 0.500
5 Fe 0.250 0.500 0.000
6 Fe 0.500 0.000 0.250
7 Fe 0.500 0.000 0.750
8 Fe 0.750 0.500 0.000
9 As 0.000 0.500 0.250
10 As 0.000 0.500 0.750
11 As 0.250 0.000 0.500
12 As 0.500 0.250 0.000
13 As 0.500 0.750 0.000
14 As 0.750 0.000 0.500

## Properties
- DFT formation energy (eV per atom) = -0.086

Among the records above, which one has the lowest DFT formation energy? number 2

Which of these has the highest DFT formation energy? PmFe3As3

What is the formula in the first record? Pm2FeAs